Entry 1:
Entry from Alexandria: a relaxed structure of Sr2CaSb2 (GGA-PBEsol).

a b c (Å): 7.926 7.926 7.926
angles (deg): 142.96 142.96 53.39
Positions (direct):
Sr  0.250  0.750  0.500
Sr  0.750  0.250  0.500
Ca  0.000  0.000  0.000
Sb  0.394  0.394  0.000
Sb  0.606  0.606  0.000

Summary:
E_form (uncorrected) ... -0.590 eV/atom
Total magnetization ... 0.00 Bohr magnetons per cell
Electronic total energy ... -3.58 eV per atom

Entry 2:
Entry from Alexandria: a relaxed structure of Sr4CaSb (GGA-PBEsol).

a b c (Å): 7.138 7.138 7.138
angles (deg): 60.00 60.00 60.00
Positions (direct):
Sr  0.376  0.376  0.376
Sr  0.376  0.376  0.872
Sr  0.376  0.872  0.376
Sr  0.872  0.376  0.376
Ca  0.000  0.000  0.000
Sb  0.750  0.750  0.750

Summary:
E_form (uncorrected) ... 0.157 eV/atom
Total magnetization ... 0.00 Bohr magnetons per cell
Electronic total energy ... -2.18 eV per atom

Entry 3:
Entry from Alexandria: a relaxed structure of SrCaSb (GGA-PBEsol).

a b c (Å): 5.397 5.397 5.397
angles (deg): 60.00 60.00 60.00
Positions (direct):
Sr  0.000  0.000  0.000
Ca  0.750  0.750  0.750
Sb  0.250  0.250  0.250

Summary:
E_form (uncorrected) ... -0.233 eV/atom
Total magnetization ... 0.00 Bohr magnetons per cell
Electronic total energy ... -3.08 eV per atom